# BaIn12Pt4

Crystalline BaIn12Pt4 at its relaxed geometry (PBE, the Alexandria database).

## Properties
Energy ... -3.7485 eV/atom
Space-group type ... Im-3 (204)

abc: 8.4235 8.4235 8.4235
angles: 109.47 109.47 109.47
Last column: nearest neighbours and their distance in Å.
Fractional coordinates of all 17 atoms:
Ba (0.0000, 0.0000, 0.0000)  12 In 3.70
In (0.1686, 0.3408, 0.5094)  2 Pt 2.71
In (0.1686, 0.6592, 0.8278)  2 Pt 2.71
In (0.1722, 0.8314, 0.3408)  2 Pt 2.71
In (0.3408, 0.1722, 0.8314)  2 Pt 2.71
In (0.3408, 0.5094, 0.1686)  2 Pt 2.71
In (0.4906, 0.8314, 0.6592)  2 Pt 2.71
In (0.5094, 0.1686, 0.3408)  2 Pt 2.71
In (0.6592, 0.4906, 0.8314)  2 Pt 2.71
In (0.6592, 0.8278, 0.1686)  2 Pt 2.71
In (0.8278, 0.1686, 0.6592)  2 Pt 2.71
In (0.8314, 0.3408, 0.1722)  2 Pt 2.71
In (0.8314, 0.6592, 0.4906)  2 Pt 2.71
Pt (0.0000, 0.0000, 0.5000)  6 In 2.71
Pt (0.0000, 0.5000, 0.0000)  6 In 2.71
Pt (0.5000, 0.0000, 0.0000)  6 In 2.71
Pt (0.5000, 0.5000, 0.5000)  6 In 2.71

# Ba2InPt2

Crystalline Ba2InPt2 at its relaxed geometry (PBE, the Alexandria database).

## Properties
Energy ... -4.2987 eV/atom
Space-group type ... I4/mmm (139)

abc: 6.0009 6.0009 6.0009
angles: 116.82 116.82 95.61
Last column: nearest neighbours and their distance in Å.
Fractional coordinates of all 5 atoms:
Ba (0.2500, 0.7500, 0.5000)  4 Pt 3.22
Ba (0.7500, 0.2500, 0.5000)  4 Pt 3.22
In (0.0000, 0.0000, 0.0000)  2 Pt 2.69
Pt (0.3336, 0.3336, 0.0000)  1 Pt 2.68, 1 In 2.69
Pt (0.6664, 0.6664, 0.0000)  1 Pt 2.68, 1 In 2.69

# Ba2In3Pt

Crystalline Ba2In3Pt at its relaxed geometry (PBE, the Alexandria database).

## Properties
Polymorph energy (0 for the lowest one) ... 56.8 meV per atom
Space-group type ... Fmmm (69)

abc: 10.0189 9.7982 6.7555
angles: 71.84 68.32 39.84
Last column: nearest neighbours and their distance in Å.
Fractional coordinates of all 12 atoms:
Ba (0.2495, 0.7505, 0.7505)  10 In 3.61-3.81, 2 Pt 3.69
Ba (0.2500, 0.2500, 0.2500)  8 In 3.61-3.62, 4 Pt 3.67
Ba (0.7500, 0.7500, 0.7500)  8 In 3.61-3.62, 4 Pt 3.67
Ba (0.7505, 0.2495, 0.2495)  10 In 3.61-3.81, 2 Pt 3.69
In (0.1762, 0.1762, 0.8238)  1 Pt 2.71
In (0.1774, 0.6467, 0.3533)  1 Pt 2.72
In (0.3533, 0.8226, 0.1774)  1 Pt 2.72
In (0.6467, 0.1774, 0.8226)  1 Pt 2.72
In (0.8226, 0.3533, 0.6467)  1 Pt 2.72
In (0.8238, 0.8238, 0.1762)  1 Pt 2.71
Pt (0.3326, 0.3326, 0.6674)  3 In 2.71-2.72
Pt (0.6674, 0.6674, 0.3326)  3 In 2.71-2.72

# BaIn4Pt4

Crystalline BaIn4Pt4 at its relaxed geometry (PBE, the Alexandria database).

## Properties
Polymorph energy (0 for the lowest one) ... 0.0 meV per atom
Space-group type ... P4_2/nmc (137)

abc: 6.8536 6.8536 8.9746
angles: 90.00 90.00 90.00
Last column: nearest neighbours and their distance in Å.
Fractional coordinates of all 18 atoms:
Ba (0.2500, 0.7500, 0.2500)  4 Pt 3.57, 12 In 3.77-3.99
Ba (0.7500, 0.2500, 0.7500)  4 Pt 3.57, 12 In 3.77-3.99
In (0.0020, 0.2500, 0.1233)  5 Pt 2.74-2.80
In (0.2500, 0.0020, 0.6233)  5 Pt 2.74-2.80
In (0.2500, 0.4980, 0.6233)  5 Pt 2.74-2.80
In (0.4980, 0.2500, 0.1233)  5 Pt 2.74-2.80
In (0.5020, 0.7500, 0.8767)  5 Pt 2.74-2.80
In (0.7500, 0.5020, 0.3767)  5 Pt 2.74-2.80
In (0.7500, 0.9980, 0.3767)  5 Pt 2.74-2.80
In (0.9980, 0.7500, 0.8767)  5 Pt 2.74-2.80
Pt (0.0533, 0.2500, 0.4266)  1 Pt 2.70, 5 In 2.74-2.80
Pt (0.2500, 0.0533, 0.9266)  1 Pt 2.70, 5 In 2.74-2.80
Pt (0.2500, 0.4467, 0.9266)  1 Pt 2.70, 5 In 2.74-2.80
Pt (0.4467, 0.2500, 0.4266)  1 Pt 2.70, 5 In 2.74-2.80
Pt (0.5533, 0.7500, 0.5734)  1 Pt 2.70, 5 In 2.74-2.80
Pt (0.7500, 0.5533, 0.0734)  1 Pt 2.70, 5 In 2.74-2.80
Pt (0.7500, 0.9467, 0.0734)  1 Pt 2.70, 5 In 2.74-2.80
Pt (0.9467, 0.7500, 0.5734)  1 Pt 2.70, 5 In 2.74-2.80

# Ba2In5Pt3

Crystalline Ba2In5Pt3 at its relaxed geometry (PBE, the Alexandria database).

## Properties
Polymorph energy (0 for the lowest one) ... 0.0 meV per atom
Space-group type ... Ibam (72)

abc: 9.5989 9.5989 9.5989
angles: 110.25 84.60 138.42
Last column: nearest neighbours and their distance in Å.
Fractional coordinates of all 20 atoms:
Ba (0.1208, 0.2358, 0.3566)  6 Pt 3.54-3.90, 10 In 3.63-3.93
Ba (0.3792, 0.7358, 0.1149)  6 Pt 3.54-3.90, 10 In 3.63-3.93
Ba (0.6208, 0.2642, 0.8851)  6 Pt 3.54-3.90, 10 In 3.63-3.93
Ba (0.8792, 0.7642, 0.6434)  6 Pt 3.54-3.90, 10 In 3.63-3.93
In (0.0217, 0.7500, 0.2717)  2 Pt 2.74, 2 In 3.05
In (0.1207, 0.8776, 0.9983)  3 Pt 2.70-2.77
In (0.2500, 0.7500, 0.5000)  4 Pt 2.78
In (0.3793, 0.3776, 0.7569)  3 Pt 2.70-2.77
In (0.4783, 0.7500, 0.7283)  2 Pt 2.74, 2 In 3.05
In (0.5217, 0.2500, 0.2717)  2 Pt 2.74, 2 In 3.05
In (0.6207, 0.6224, 0.2431)  3 Pt 2.70-2.77
In (0.7500, 0.2500, 0.5000)  4 Pt 2.78
In (0.8793, 0.1224, 0.0017)  3 Pt 2.70-2.77
In (0.9783, 0.2500, 0.7283)  2 Pt 2.74, 2 In 3.05
Pt (0.1164, 0.6315, 0.7479)  5 In 2.70-2.78
Pt (0.2500, 0.2500, 0.0000)  4 In 2.77
Pt (0.3836, 0.1315, 0.5151)  5 In 2.70-2.78
Pt (0.6164, 0.8685, 0.4849)  5 In 2.70-2.78
Pt (0.7500, 0.7500, 0.0000)  4 In 2.77
Pt (0.8836, 0.3685, 0.2521)  5 In 2.70-2.78

# BaInPt2

Crystalline BaInPt2 at its relaxed geometry (PBE, the Alexandria database).

## Properties
Energy ... -4.6609 eV/atom
Space-group type ... I-42d (122)

abc: 9.7975 9.7975 9.7975
angles: 148.96 148.96 44.47
Last column: nearest neighbours and their distance in Å.
Fractional coordinates of all 8 atoms:
Ba (0.0000, 0.0000, 0.0000)  8 Pt 3.58-3.84, 4 In 3.71
Ba (0.7500, 0.2500, 0.5000)  8 Pt 3.58-3.84, 4 In 3.71
In (0.2500, 0.7500, 0.5000)  4 Pt 2.63
In (0.5000, 0.5000, 0.0000)  4 Pt 2.63
Pt (0.3397, 0.6250, 0.2147)  2 In 2.63, 2 Pt 2.65
Pt (0.3750, 0.5897, 0.7147)  2 In 2.63, 2 Pt 2.65
Pt (0.4103, 0.1250, 0.7853)  2 In 2.63, 2 Pt 2.65
Pt (0.8750, 0.6603, 0.2853)  2 In 2.63, 2 Pt 2.65

# BaInPt2

Crystalline BaInPt2 at its relaxed geometry (PBE, the Alexandria database).

## Properties
Energy ... -4.7558 eV/atom
Space-group type ... R3m (160)

abc: 6.5538 6.5538 6.5538
angles: 41.02 41.02 41.02
Last column: nearest neighbours and their distance in Å.
Fractional coordinates of all 4 atoms:
Ba (0.0000, 0.0000, 0.0000)  4 In 3.47-3.66, 7 Pt 3.48-3.74
In (0.8068, 0.8068, 0.8068)  6 Pt 2.90-2.92
Pt (0.2081, 0.2081, 0.2081)  3 Pt 2.65, 3 In 2.92
Pt (0.5385, 0.5385, 0.5385)  3 Pt 2.65, 3 In 2.90

# Ba2In5Pt3

Crystalline Ba2In5Pt3 at its relaxed geometry (PBE, the Alexandria database).

## Properties
Polymorph energy (0 for the lowest one) ... 26.8 meV per atom
Space-group type ... Cmc2_1 (36)

abc: 14.0246 14.0246 7.6161
angles: 90.00 90.00 160.40
Last column: nearest neighbours and their distance in Å.
Fractional coordinates of all 20 atoms:
Ba (0.0231, 0.9769, 0.5000)  3 Pt 3.08-3.37
Ba (0.3241, 0.6759, 0.5612)  4 Pt 3.32-3.57, 9 In 3.41-3.57
Ba (0.6759, 0.3241, 0.0612)  4 Pt 3.32-3.57, 9 In 3.41-3.57
Ba (0.9769, 0.0231, 0.0000)  3 Pt 3.08-3.37
In (0.1006, 0.8994, 0.8705)  3 Pt 2.80-2.88, 1 In 3.13
In (0.2061, 0.7939, 0.3718)  4 Pt 2.82-2.92, 1 In 3.02
In (0.2104, 0.7896, 0.7673)  3 Pt 2.85-2.88, 2 In 3.02-3.13
In (0.3724, 0.6276, 0.0295)  2 Pt 2.79-2.90
In (0.4458, 0.5542, 0.6720)  4 Pt 2.87-3.08
In (0.5542, 0.4458, 0.1720)  4 Pt 2.87-3.08
In (0.6276, 0.3724, 0.5295)  2 Pt 2.79-2.90
In (0.7896, 0.2104, 0.2673)  3 Pt 2.85-2.88, 2 In 3.02-3.13
In (0.7939, 0.2061, 0.8718)  4 Pt 2.82-2.92, 1 In 3.02
In (0.8994, 0.1006, 0.3705)  3 Pt 2.80-2.88, 1 In 3.13
Pt (0.1099, 0.8901, 0.2470)  4 In 2.82-2.90, 1 Ba 3.08
Pt (0.2721, 0.7279, 0.0720)  7 In 2.79-2.92
Pt (0.4480, 0.5520, 0.2946)  5 In 2.80-3.08
Pt (0.5520, 0.4480, 0.7946)  5 In 2.80-3.08
Pt (0.7279, 0.2721, 0.5720)  7 In 2.79-2.92
Pt (0.8901, 0.1099, 0.7470)  4 In 2.82-2.90, 1 Ba 3.08

# Ba12InPt5

Crystalline Ba12InPt5 at its relaxed geometry (PBE, the Alexandria database).

## Properties
Energy ... -3.6580 eV/atom
Space-group type ... C2/m (12)

abc: 8.1702 8.1702 15.2702
angles: 95.05 95.05 120.03
Last column: nearest neighbours and their distance in Å.
Fractional coordinates of all 18 atoms:
Ba (0.0384, 0.4017, 0.1178)  2 Pt 3.15-3.16, 1 In 3.45
Ba (0.1294, 0.1294, 0.3873)  3 Pt 3.19-3.21
Ba (0.2023, 0.5353, 0.6080)  3 Pt 3.17-3.19
Ba (0.3248, 0.3248, 0.8822)  2 Pt 3.15, 1 In 3.46
Ba (0.4017, 0.0384, 0.1178)  2 Pt 3.15-3.16, 1 In 3.45
Ba (0.4647, 0.7977, 0.3920)  3 Pt 3.17-3.19
Ba (0.5353, 0.2023, 0.6080)  3 Pt 3.17-3.19
Ba (0.5983, 0.9616, 0.8822)  2 Pt 3.15-3.16, 1 In 3.45
Ba (0.6752, 0.6752, 0.1178)  2 Pt 3.15, 1 In 3.46
Ba (0.7977, 0.4647, 0.3920)  3 Pt 3.17-3.19
Ba (0.8706, 0.8706, 0.6127)  3 Pt 3.19-3.21
Ba (0.9616, 0.5983, 0.8822)  2 Pt 3.15-3.16, 1 In 3.45
In (0.0000, 0.0000, 0.0000)  6 Ba 3.45-3.46
Pt (0.1651, 0.8349, 0.5000)  6 Ba 3.17-3.19
Pt (0.3333, 0.6667, 0.0000)  6 Ba 3.15-3.16
Pt (0.5000, 0.5000, 0.5000)  6 Ba 3.17-3.21
Pt (0.6667, 0.3333, 0.0000)  6 Ba 3.15-3.16
Pt (0.8349, 0.1651, 0.5000)  6 Ba 3.17-3.19

# BaIn9Pt2

Crystalline BaIn9Pt2 at its relaxed geometry (PBE, the Alexandria database).

## Properties
Polymorph energy (0 for the lowest one) ... 0.0 meV per atom
Space-group type ... P6/mmm (191)

abc: 9.1858 9.1858 4.3550
angles: 90.00 90.00 120.00
Last column: nearest neighbours and their distance in Å.
Fractional coordinates of all 12 atoms:
Ba (0.0000, 0.0000, 0.0000)  12 In 3.93, 2 Ba 4.35
In (0.0000, 0.5000, 0.0000)  2 Pt 2.65
In (0.2054, 0.4107, 0.5000)  2 Pt 2.98, 6 In 3.24-3.27
In (0.2054, 0.7946, 0.5000)  2 Pt 2.98, 6 In 3.24-3.27
In (0.4107, 0.2054, 0.5000)  2 Pt 2.98, 6 In 3.24-3.27
In (0.5000, 0.0000, 0.0000)  2 Pt 2.65
In (0.5000, 0.5000, 0.0000)  2 Pt 2.65
In (0.5893, 0.7946, 0.5000)  2 Pt 2.98, 6 In 3.24-3.27
In (0.7946, 0.2054, 0.5000)  2 Pt 2.98, 6 In 3.24-3.27
In (0.7946, 0.5893, 0.5000)  2 Pt 2.98, 6 In 3.24-3.27
Pt (0.3333, 0.6667, 0.0000)  3 In 2.65
Pt (0.6667, 0.3333, 0.0000)  3 In 2.65

# Ba2InPt

Crystalline Ba2InPt at its relaxed geometry (PBE, the Alexandria database).

## Properties
Energy ... -3.6281 eV/atom
Space-group type ... Imm2 (44)

abc: 6.7737 6.7737 6.7737
angles: 144.93 130.73 61.90
Last column: nearest neighbours and their distance in Å.
Fractional coordinates of all 4 atoms:
Ba (0.0000, 0.0000, 0.0000)  4 Pt 3.52, 2 Ba 3.58, 2 In 3.66
Ba (0.6900, 0.1900, 0.5000)  2 Pt 3.42, 2 Ba 3.58, 4 In 3.71
In (0.2989, 0.7989, 0.5000)  2 Pt 2.72
Pt (0.4541, 0.4541, 0.0000)  2 In 2.72

# Ba2In12Pt7

Crystalline Ba2In12Pt7 at its relaxed geometry (PBE, the Alexandria database).

## Properties
Energy ... -4.3178 eV/atom
Space-group type ... P-6 (174)

abc: 11.1600 11.1600 4.4412
angles: 90.00 90.00 120.00
Last column: nearest neighbours and their distance in Å.
Fractional coordinates of all 21 atoms:
Ba (0.0000, 0.0000, 0.0000)  6 Pt 3.53, 12 In 3.68-3.94
Ba (0.3333, 0.6667, 0.5000)  9 In 3.52-3.93, 6 Pt 3.64
In (0.0356, 0.7570, 0.5000)  4 Pt 2.76-2.92
In (0.1226, 0.3979, 0.0000)  4 Pt 2.79-2.84, 1 In 3.10
In (0.2430, 0.2785, 0.5000)  4 Pt 2.76-2.92
In (0.2753, 0.8774, 0.0000)  4 Pt 2.79-2.84, 1 In 3.10
In (0.3820, 0.1923, 0.0000)  4 Pt 2.75-2.79
In (0.5423, 0.1156, 0.5000)  5 Pt 2.82-3.06
In (0.5733, 0.4577, 0.5000)  5 Pt 2.82-3.06
In (0.6021, 0.7247, 0.0000)  4 Pt 2.79-2.84, 1 In 3.10
In (0.7215, 0.9644, 0.5000)  4 Pt 2.76-2.92
In (0.8077, 0.1897, 0.0000)  4 Pt 2.75-2.79
In (0.8103, 0.6180, 0.0000)  4 Pt 2.75-2.79
In (0.8844, 0.4267, 0.5000)  5 Pt 2.82-3.06
Pt (0.0482, 0.6019, 0.0000)  7 In 2.75-2.92
Pt (0.2570, 0.0238, 0.5000)  7 In 2.76-2.92
Pt (0.3981, 0.4463, 0.0000)  7 In 2.75-2.92
Pt (0.5537, 0.9518, 0.0000)  7 In 2.75-2.92
Pt (0.6667, 0.3333, 0.0000)  9 In 2.75-3.06
Pt (0.7668, 0.7430, 0.5000)  7 In 2.76-2.92
Pt (0.9762, 0.2332, 0.5000)  7 In 2.76-2.92